VASP calculation (PBE) on a relaxed CsSr2TiCl8 crystal.

Computed properties:
- energy relative to the elements, uncorrected (eV/atom) = -2.027
- space group = P-1
- total energy (eV/atom) = -4.267

POSCAR file:
```
CsSr2TiCl8
1.0
6.499 0.000 0.000
0.063 6.594 0.000
0.024 0.013 9.160
Cs Sr Ti Cl
1 2 1 8
direct
0.000 0.000 0.000 Cs
0.500 0.500 0.258 Sr
0.500 0.500 0.742 Sr
0.000 0.000 0.500 Ti
0.215 0.841 0.684 Cl
0.217 0.843 0.315 Cl
0.244 0.301 0.501 Cl
0.262 0.416 0.000 Cl
0.738 0.584 0.000 Cl
0.756 0.699 0.499 Cl
0.783 0.157 0.685 Cl
0.785 0.159 0.316 Cl
```